--- i ---
Computed, not measured: a relaxed structure of InHIN2 at the PBE level of DFT.

Properties
* total magnetization: 4.13 μB/f.u.
* ρ: 3.52 Mg/m³

a = 4.3699 Å, b = 4.3699 Å, c = 6.6920 Å
α = 90.00°, β = 90.00°, γ = 90.00°
Space group P4/mmm (No. 123)
Symmetry-distinct sites (fractional):
In 0.0000 0.0000 0.0000 [1 per cell]
H 0.5000 0.5000 0.5000 [1 per cell]
I 0.0000 0.0000 0.5000 [1 per cell]
N 0.0000 0.5000 0.0000 [2 per cell]

--- ii ---
Computed, not measured: a relaxed structure of InHIN2 at the PBE level of DFT.

Properties
* total magnetization: 2.32 μB/f.u.
* ρ: 6.15 Mg/m³

a = 4.4730 Å, b = 4.4730 Å, c = 3.6551 Å
α = 90.00°, β = 90.00°, γ = 90.00°
Space group P4/mmm (No. 123)
Symmetry-distinct sites (fractional):
In 0.0000 0.0000 0.0000 [1 per cell]
H 0.5000 0.5000 0.5000 [1 per cell]
I 0.5000 0.5000 0.0000 [1 per cell]
N 0.0000 0.5000 0.5000 [2 per cell]

Which structure is most stable? i, by 246 meV per atom over the runner-up.

--- i ---
Computed, not measured: a relaxed structure of RbInHI2 at the PBE level of DFT.

Properties
* total magnetization: 0.00 μB/f.u.
* ρ: 4.44 Mg/m³

a = 6.4049 Å, b = 6.4049 Å, c = 4.1481 Å
α = 90.00°, β = 90.00°, γ = 90.00°
Space group P4/mmm (No. 123)
Symmetry-distinct sites (fractional):
Rb 0.0000 0.0000 0.0000 [1 per cell]
In 0.5000 0.5000 0.5000 [1 per cell]
H 0.5000 0.5000 0.0000 [1 per cell]
I 0.0000 0.5000 0.5000 [2 per cell]

--- ii ---
Computed, not measured: a relaxed structure of RbInHI2 at the PBE level of DFT.

Properties
* total magnetization: 1.00 μB/f.u.
* ρ: 2.64 Mg/m³

a = 6.4271 Å, b = 6.4271 Å, c = 6.9216 Å
α = 90.00°, β = 90.00°, γ = 90.00°
Space group P4/mmm (No. 123)
Symmetry-distinct sites (fractional):
Rb 0.0000 0.0000 0.0000 [1 per cell]
In 0.0000 0.0000 0.5000 [1 per cell]
H 0.5000 0.5000 0.0000 [1 per cell]
I 0.0000 0.5000 0.5000 [2 per cell]

Which structure is most stable? i, by 636 meV per atom over the runner-up.

--- i ---
Computed, not measured: a relaxed structure of InTe2HI at the PBE level of DFT.

Properties
* total magnetization: 2.66 μB/f.u.
* ρ: 4.06 Mg/m³

a = 5.7734 Å, b = 5.7734 Å, c = 6.1048 Å
α = 90.00°, β = 90.00°, γ = 90.00°
Space group P4/mmm (No. 123)
Symmetry-distinct sites (fractional):
In 0.0000 0.0000 0.0000 [1 per cell]
Te 0.0000 0.5000 0.0000 [2 per cell]
H 0.5000 0.5000 0.5000 [1 per cell]
I 0.0000 0.0000 0.5000 [1 per cell]

--- ii ---
Computed, not measured: a relaxed structure of InTe2HI at the PBE level of DFT.

Properties
* total magnetization: 0.00 μB/f.u.
* ρ: 5.33 Mg/m³

a = 4.5067 Å, b = 4.5067 Å, c = 7.6387 Å
α = 90.00°, β = 90.00°, γ = 90.00°
Space group P4/mmm (No. 123)
Symmetry-distinct sites (fractional):
In 0.0000 0.0000 0.0000 [1 per cell]
Te 0.0000 0.5000 0.5000 [2 per cell]
H 0.5000 0.5000 0.5000 [1 per cell]
I 0.5000 0.5000 0.0000 [1 per cell]

Which structure is most stable? ii, by 527 meV per atom over the runner-up.

--- i ---
Computed, not measured: a relaxed structure of H3IrI at the PBE level of DFT.

Properties
* total magnetization: 0.00 μB/f.u.
* ρ: 9.76 Mg/m³

a = 3.7983 Å, b = 3.7983 Å, c = 3.7983 Å
α = 90.00°, β = 90.00°, γ = 90.00°
Space group Pm-3m (No. 221)
Symmetry-distinct sites (fractional):
H 0.0000 0.0000 0.5000 [3 per cell]
Ir 0.0000 0.0000 0.0000 [1 per cell]
I 0.5000 0.5000 0.5000 [1 per cell]

--- ii ---
Computed, not measured: a relaxed structure of H3IrI at the PBE level of DFT.

Properties
* total magnetization: 1.87 μB/f.u.
* ρ: 8.70 Mg/m³

a = 3.9470 Å, b = 3.9470 Å, c = 3.9470 Å
α = 90.00°, β = 90.00°, γ = 90.00°
Space group Pm-3m (No. 221)
Symmetry-distinct sites (fractional):
H 0.0000 0.0000 0.5000 [3 per cell]
Ir 0.5000 0.5000 0.5000 [1 per cell]
I 0.0000 0.0000 0.0000 [1 per cell]

Which structure is most stable? i, by 997 meV per atom over the runner-up.

--- i ---
Computed, not measured: a relaxed structure of HIrIO2 at the PBE level of DFT.

Properties
* total magnetization: 0.17 μB/f.u.
* ρ: 6.69 Mg/m³

a = 3.7298 Å, b = 3.7298 Å, c = 6.2799 Å
α = 90.00°, β = 90.00°, γ = 90.00°
Space group P4/mmm (No. 123)
Symmetry-distinct sites (fractional):
H 0.0000 0.0000 0.0000 [1 per cell]
Ir 0.5000 0.5000 0.5000 [1 per cell]
I 0.5000 0.5000 0.0000 [1 per cell]
O 0.0000 0.5000 0.5000 [2 per cell]

--- ii ---
Computed, not measured: a relaxed structure of HIrIO2 at the PBE level of DFT.

Properties
* total magnetization: 0.00 μB/f.u.
* ρ: 10.17 Mg/m³

a = 4.0601 Å, b = 4.0601 Å, c = 3.4869 Å
α = 90.00°, β = 90.00°, γ = 90.00°
Space group P4/mmm (No. 123)
Symmetry-distinct sites (fractional):
H 0.0000 0.0000 0.0000 [1 per cell]
Ir 0.5000 0.5000 0.5000 [1 per cell]
I 0.0000 0.0000 0.5000 [1 per cell]
O 0.0000 0.5000 0.0000 [2 per cell]

Which structure is most stable? i, by 1153 meV per atom over the runner-up.

--- i ---
Computed, not measured: a relaxed structure of Sb2HIrI at the PBE level of DFT.

Properties
* total magnetization: 0.91 μB/f.u.
* ρ: 6.05 Mg/m³

a = 5.0893 Å, b = 5.0893 Å, c = 5.9760 Å
α = 90.00°, β = 90.00°, γ = 90.00°
Space group P4/mmm (No. 123)
Symmetry-distinct sites (fractional):
Sb 0.0000 0.5000 0.0000 [2 per cell]
H 0.0000 0.0000 0.5000 [1 per cell]
Ir 0.5000 0.5000 0.0000 [1 per cell]
I 0.5000 0.5000 0.5000 [1 per cell]

--- ii ---
Computed, not measured: a relaxed structure of Sb2HIrI at the PBE level of DFT.

Properties
* total magnetization: 0.00 μB/f.u.
* ρ: 9.45 Mg/m³

a = 4.3366 Å, b = 4.3366 Å, c = 5.2691 Å
α = 90.00°, β = 90.00°, γ = 90.00°
Space group P4/mmm (No. 123)
Symmetry-distinct sites (fractional):
Sb 0.0000 0.5000 0.0000 [2 per cell]
H 0.0000 0.0000 0.0000 [1 per cell]
Ir 0.5000 0.5000 0.5000 [1 per cell]
I 0.0000 0.0000 0.5000 [1 per cell]

Which structure is most stable? i, by 93 meV per atom over the runner-up.

--- i ---
Computed, not measured: a relaxed structure of Te2HIrI at the PBE level of DFT.

Properties
* total magnetization: 0.97 μB/f.u.
* ρ: 6.05 Mg/m³

a = 5.1908 Å, b = 5.1908 Å, c = 5.8602 Å
α = 90.00°, β = 90.00°, γ = 90.00°
Space group P4/mmm (No. 123)
Symmetry-distinct sites (fractional):
Te 0.0000 0.5000 0.0000 [2 per cell]
H 0.0000 0.0000 0.5000 [1 per cell]
Ir 0.5000 0.5000 0.0000 [1 per cell]
I 0.5000 0.5000 0.5000 [1 per cell]

--- ii ---
Computed, not measured: a relaxed structure of Te2HIrI at the PBE level of DFT.

Properties
* total magnetization: 0.00 μB/f.u.
* ρ: 9.25 Mg/m³

a = 4.3296 Å, b = 4.3296 Å, c = 5.5090 Å
α = 90.00°, β = 90.00°, γ = 90.00°
Space group P4/mmm (No. 123)
Symmetry-distinct sites (fractional):
Te 0.0000 0.5000 0.0000 [2 per cell]
H 0.0000 0.0000 0.0000 [1 per cell]
Ir 0.5000 0.5000 0.5000 [1 per cell]
I 0.0000 0.0000 0.5000 [1 per cell]

Which structure is most stable? i, by 253 meV per atom over the runner-up.

--- i ---
Computed, not measured: a relaxed structure of KHI2 at the PBE level of DFT.

Properties
* total magnetization: 1.96 μB/f.u.
* ρ: 3.44 Mg/m³

a = 8.2814 Å, b = 8.2814 Å, c = 8.2814 Å
α = 90.00°, β = 90.00°, γ = 90.00°
Space group Fm-3m (No. 225)
Symmetry-distinct sites (fractional):
K 0.0000 0.0000 0.0000 [4 per cell]
H 0.0000 0.0000 0.5000 [4 per cell]
I 0.2500 0.2500 0.2500 [8 per cell]

--- ii ---
Computed, not measured: a relaxed structure of KHI2 at the PBE level of DFT.

Properties
* total magnetization: 0.00 μB/f.u.
* ρ: 3.27 Mg/m³

a = 4.2948 Å, b = 4.2948 Å, c = 28.0166 Å
α = 90.00°, β = 90.00°, γ = 120.00°
Space group R-3m (No. 166, hexagonal axes)
Symmetry-distinct sites (fractional):
K 0.0000 0.0000 0.0000 [3 per cell]
H 0.0000 0.0000 0.5000 [3 per cell]
I 0.0000 0.0000 0.1137 [6 per cell]

--- iii ---
Computed, not measured: a relaxed structure of KHI2 at the PBE level of DFT.

Properties
* total magnetization: 0.00 μB/f.u.
* ρ: 3.67 Mg/m³

a = 7.4539 Å, b = 7.4539 Å, c = 9.5716 Å
α = 90.00°, β = 90.00°, γ = 90.00°
Space group I-42d (No. 122)
Symmetry-distinct sites (fractional):
K 0.0000 0.0000 0.0000 [4 per cell]
H 0.0000 0.0000 0.5000 [4 per cell]
I 0.1286 0.2500 0.6250 [8 per cell]

--- iv ---
Computed, not measured: a relaxed structure of KHI2 at the PBE level of DFT.

Properties
* total magnetization: 0.00 μB/f.u.
* ρ: 3.04 Mg/m³

a = 7.5319 Å, b = 9.2859 Å, c = 9.4698 Å
α = 90.00°, β = 104.16°, γ = 90.00°
Space group P2_1/c (No. 14)
Symmetry-distinct sites (fractional):
K 0.1479 0.0394 0.2765 [4 per cell]
H 0.3699 0.6999 0.6414 [4 per cell]
I 0.0976 0.7446 0.0180 [4 per cell]
I 0.4188 0.1414 0.7473 [4 per cell]

Which structure is most stable? iv, by 356 meV per atom over the runner-up.